(i)
Here is a relaxed Zn2HgBr2 crystal from the Alexandria database. Energies are from GGA-PBE.

Values from the calculation:
As for the density of states at the Fermi level: 0.459 states/eV per atom.

Structure (CIF):
```
data_Zn2HgBr2
_chemical_formula_sum 'Zn4 Hg2 Br4'
_symmetry_space_group_name_H-M 'I 4/m m m'
_symmetry_Int_Tables_number 139
_symmetry_space_group_name_Hall '-I 4 2'
_cell_length_a 5.203
_cell_length_b 5.203
_cell_length_c 11.652
_cell_angle_alpha 90.00
_cell_angle_beta 90.00
_cell_angle_gamma 90.00
loop_
_atom_site_label
_atom_site_type_symbol
_atom_site_fract_x
_atom_site_fract_y
_atom_site_fract_z
_atom_site_occupancy
Zn1 Zn 0.000 0.500 0.250 1
Hg1 Hg 0.000 0.000 0.000 1
Br1 Br 0.000 0.000 0.328 1
```

---

(ii)
Here is a relaxed Zn2HgBr2 crystal from the Alexandria database. Energies are from GGA-PBE.

Values from the calculation:
As for the density of states at the Fermi level: 0.667 states/eV per atom.

Structure (CIF):
```
data_Zn2HgBr2
_chemical_formula_sum 'Zn4 Hg2 Br4'
_symmetry_space_group_name_H-M 'P 4/m b m'
_symmetry_Int_Tables_number 127
_symmetry_space_group_name_Hall '-P 4 2ab'
_cell_length_a 8.493
_cell_length_b 8.493
_cell_length_c 3.554
_cell_angle_alpha 90.00
_cell_angle_beta 90.00
_cell_angle_gamma 90.00
loop_
_atom_site_label
_atom_site_type_symbol
_atom_site_fract_x
_atom_site_fract_y
_atom_site_fract_z
_atom_site_occupancy
Zn1 Zn 0.152 0.348 0.000 1
Hg1 Hg 0.000 0.000 0.500 1
Br1 Br 0.144 0.644 0.500 1
```

---

(iii)
Here is a relaxed Zn2HgBr2 crystal from the Alexandria database. Energies are from GGA-PBE.

Values from the calculation:
As for the density of states at the Fermi level: 0.000 states/eV per atom.

Structure (CIF):
```
data_Zn2HgBr2
_chemical_formula_sum 'Zn4 Hg2 Br4'
_symmetry_space_group_name_H-M 'I 4/m m m'
_symmetry_Int_Tables_number 139
_symmetry_space_group_name_Hall '-I 4 2'
_cell_length_a 4.999
_cell_length_b 4.999
_cell_length_c 10.318
_cell_angle_alpha 90.00
_cell_angle_beta 90.00
_cell_angle_gamma 90.00
loop_
_atom_site_label
_atom_site_type_symbol
_atom_site_fract_x
_atom_site_fract_y
_atom_site_fract_z
_atom_site_occupancy
Zn1 Zn 0.000 0.000 0.118 1
Hg1 Hg 0.000 0.000 0.500 1
Br1 Br 0.000 0.500 0.250 1
```

---

Most stable structure: (iii)

---

(i)
Here is a relaxed Zn3HgBr crystal from the Alexandria database. Energies are from GGA-PBE.

Values from the calculation:
As for the density of states at the Fermi level: 0.904 states/eV per atom.

Structure (CIF):
```
data_Zn3HgBr
_chemical_formula_sum 'Zn3 Hg1 Br1'
_symmetry_space_group_name_H-M 'P m -3 m'
_symmetry_Int_Tables_number 221
_symmetry_space_group_name_Hall '-P 4 2 3'
_cell_length_a 5.783
_cell_length_b 5.783
_cell_length_c 5.783
_cell_angle_alpha 90.00
_cell_angle_beta 90.00
_cell_angle_gamma 90.00
loop_
_atom_site_label
_atom_site_type_symbol
_atom_site_fract_x
_atom_site_fract_y
_atom_site_fract_z
_atom_site_occupancy
Zn1 Zn 0.000 0.000 0.500 1
Hg1 Hg 0.500 0.500 0.500 1
Br1 Br 0.000 0.000 0.000 1
```

---

(ii)
Here is a relaxed Zn3HgBr crystal from the Alexandria database. Energies are from GGA-PBE.

Values from the calculation:
As for the density of states at the Fermi level: 0.291 states/eV per atom.

Structure (CIF):
```
data_Zn3HgBr
_chemical_formula_sum 'Zn3 Hg1 Br1'
_symmetry_space_group_name_H-M 'P m -3 m'
_symmetry_Int_Tables_number 221
_symmetry_space_group_name_Hall '-P 4 2 3'
_cell_length_a 5.143
_cell_length_b 5.143
_cell_length_c 5.143
_cell_angle_alpha 90.00
_cell_angle_beta 90.00
_cell_angle_gamma 90.00
loop_
_atom_site_label
_atom_site_type_symbol
_atom_site_fract_x
_atom_site_fract_y
_atom_site_fract_z
_atom_site_occupancy
Zn1 Zn 0.000 0.000 0.500 1
Hg1 Hg 0.000 0.000 0.000 1
Br1 Br 0.500 0.500 0.500 1
```

---

Most stable structure: (ii)

---

(i)
Here is a relaxed ZrHgBr2 crystal from the Alexandria database. Energies are from GGA-PBE.

Values from the calculation:
As for the density of states at the Fermi level: 0.373 states/eV per atom.

Structure (CIF):
```
data_ZrHgBr2
_chemical_formula_sum 'Zr4 Hg4 Br8'
_symmetry_space_group_name_H-M 'F m -3 m'
_symmetry_Int_Tables_number 225
_symmetry_space_group_name_Hall '-F 4 2 3'
_cell_length_a 7.344
_cell_length_b 7.344
_cell_length_c 7.344
_cell_angle_alpha 90.00
_cell_angle_beta 90.00
_cell_angle_gamma 90.00
loop_
_atom_site_label
_atom_site_type_symbol
_atom_site_fract_x
_atom_site_fract_y
_atom_site_fract_z
_atom_site_occupancy
Zr1 Zr 0.000 0.000 0.000 1
Hg1 Hg 0.000 0.000 0.500 1
Br1 Br 0.250 0.250 0.250 1
```

---

(ii)
Here is a relaxed ZrHgBr2 crystal from the Alexandria database. Energies are from GGA-PBE.

Values from the calculation:
As for the density of states at the Fermi level: 0.747 states/eV per atom.

Structure (CIF):
```
data_ZrHgBr2
_chemical_formula_sum 'Zr1 Hg1 Br2'
_symmetry_space_group_name_H-M 'P 1 2/m 1'
_symmetry_Int_Tables_number 10
_cell_length_a 5.411
_cell_length_b 3.440
_cell_length_c 5.816
_cell_angle_alpha 90.00
_cell_angle_beta 116.81
_cell_angle_gamma 90.00
loop_
_symmetry_equiv_pos_as_xyz
'x,y,z'
'-x,-y,-z'
'-x,y,-z'
'x,-y,z'
loop_
_atom_site_label
_atom_site_type_symbol
_atom_site_fract_x
_atom_site_fract_y
_atom_site_fract_z
_atom_site_occupancy
Zr1 Zr 0.000 0.000 0.000 1
Hg1 Hg 0.000 0.500 0.500 1
Br1 Br 0.500 0.000 0.500 1
Br2 Br 0.500 0.500 0.000 1
```

---

(iii)
Here is a relaxed ZrHgBr2 crystal from the Alexandria database. Energies are from GGA-PBE.

Values from the calculation:
As for the density of states at the Fermi level: 0.410 states/eV per atom.

Structure (CIF):
```
data_ZrHgBr2
_chemical_formula_sum 'Zr2 Hg2 Br4'
_symmetry_space_group_name_H-M 'C 1 m 1'
_symmetry_Int_Tables_number 8
_cell_length_a 11.252
_cell_length_b 3.444
_cell_length_c 7.637
_cell_angle_alpha 90.00
_cell_angle_beta 113.28
_cell_angle_gamma 90.00
loop_
_symmetry_equiv_pos_as_xyz
'x,y,z'
'x,-y,z'
'x+1/2,y+1/2,z'
'x+1/2,-y+1/2,z'
loop_
_atom_site_label
_atom_site_type_symbol
_atom_site_fract_x
_atom_site_fract_y
_atom_site_fract_z
_atom_site_occupancy
Zr1 Zr 0.000 0.000 0.000 1
Hg1 Hg 0.230 0.500 0.000 1
Br1 Br 0.037 0.500 0.293 1
Br2 Br 0.380 0.000 0.707 1
```

---

Most stable structure: (iii)